VASP calculation (PBE) on an optimized crystal structure of TlCdPO5.

Cell lengths 5.849, 5.849, 7.322 Å; angles 104.24, 104.24, 101.63 degrees
Sites, in units of the cell vectors:
Tl  0.000  0.000  0.000
Tl  0.000  0.000  0.500
Cd  0.339  0.661  0.750
Cd  0.661  0.339  0.250
P  0.338  0.662  0.250
P  0.662  0.338  0.750
O  0.106  0.894  0.750
O  0.145  0.662  0.364
O  0.292  0.400  0.101
O  0.338  0.855  0.136
O  0.400  0.292  0.601
O  0.600  0.708  0.399
O  0.662  0.145  0.864
O  0.708  0.600  0.899
O  0.855  0.338  0.636
O  0.894  0.106  0.250

volume: 113 Å³/f.u.
ΔE_f (raw): -1.4808 eV/atom
space group: C2/c, No. 15
E: -0.2082 hartree per atom

---

VASP calculation (PBE) on an optimized crystal structure of TlCdP2O.

Cell lengths 5.173, 5.173, 4.127 Å; angles 90.00, 90.00, 90.00 degrees
Sites, in units of the cell vectors:
Tl  0.000  0.000  0.000
Cd  0.500  0.500  0.500
P  0.000  0.500  0.500
P  0.500  0.000  0.500
O  0.500  0.500  0.000

volume: 110 Å³/f.u.
ΔE_f (raw): 0.7112 eV/atom
space group: P4/mmm, No. 123
E: -0.1139 hartree per atom

---

VASP calculation (PBE) on an optimized crystal structure of TmCdP2O8.

Cell lengths 5.274, 5.274, 6.858 Å; angles 90.00, 90.00, 120.00 degrees
Sites, in units of the cell vectors:
Tm  0.000  0.000  0.000
Cd  0.000  0.000  0.500
P  0.333  0.667  0.813
P  0.667  0.333  0.187
O  0.171  0.343  0.745
O  0.171  0.829  0.745
O  0.333  0.667  0.037
O  0.343  0.171  0.255
O  0.657  0.829  0.745
O  0.667  0.333  0.963
O  0.829  0.171  0.255
O  0.829  0.657  0.255

volume: 165 Å³/f.u.
ΔE_f (raw): -2.1905 eV/atom
space group: P-3m1, No. 164
E: -0.2516 hartree per atom

---

VASP calculation (PBE) on an optimized crystal structure of UCdP2O8.

Cell lengths 5.435, 5.435, 6.727 Å; angles 90.00, 90.00, 120.00 degrees
Sites, in units of the cell vectors:
U  0.000  0.000  0.000
Cd  0.000  0.000  0.500
P  0.333  0.667  0.691
P  0.667  0.333  0.309
O  0.178  0.357  0.780
O  0.178  0.822  0.780
O  0.333  0.667  0.468
O  0.357  0.178  0.220
O  0.643  0.822  0.780
O  0.667  0.333  0.532
O  0.822  0.178  0.220
O  0.822  0.643  0.220

volume: 172 Å³/f.u.
ΔE_f (raw): -2.2254 eV/atom
space group: P-3m1, No. 164
E: -0.2738 hartree per atom